--- w ---
The following is a PBE calculation of an optimized crystal structure of CaBTe2I, from Alexandria via LeMat-Bulk.

Calculated values
* V: 137.61 Å³/cell

The structure in CIF format:
```
data_CaBTe2I
_chemical_formula_sum 'Ca1 B1 Te2 I1'
_cell_length_a 4.897
_cell_length_b 4.897
_cell_length_c 5.737
_cell_angle_alpha 90.00
_cell_angle_beta 90.00
_cell_angle_gamma 90.00
_symmetry_space_group_name_H-M 'P 4/m m m'
_symmetry_Int_Tables_number 123
_symmetry_space_group_name_Hall '-P 4 2'
loop_
_atom_site_label
_atom_site_fract_x
_atom_site_fract_y
_atom_site_fract_z
_atom_site_occupancy
Ca1 0.000 0.000 0.000 1
B1 0.500 0.500 0.500 1
Te1 0.000 0.500 0.500 1
I1 0.500 0.500 0.000 1
```

--- x ---
The following is a PBE calculation of an optimized crystal structure of CaBTe2I, from Alexandria via LeMat-Bulk.

Calculated values
* V: 212.36 Å³/cell

The structure in CIF format:
```
data_CaBTe2I
_chemical_formula_sum 'Ca1 B1 Te2 I1'
_cell_length_a 5.941
_cell_length_b 5.941
_cell_length_c 6.016
_cell_angle_alpha 90.00
_cell_angle_beta 90.00
_cell_angle_gamma 90.00
_symmetry_space_group_name_H-M 'P 4/m m m'
_symmetry_Int_Tables_number 123
_symmetry_space_group_name_Hall '-P 4 2'
loop_
_atom_site_label
_atom_site_fract_x
_atom_site_fract_y
_atom_site_fract_z
_atom_site_occupancy
Ca1 0.000 0.000 0.000 1
B1 0.500 0.500 0.500 1
Te1 0.000 0.500 0.000 1
I1 0.000 0.000 0.500 1
```

Least stable structure: x

--- w ---
The following is a PBE calculation of an optimized crystal structure of CaBTeI2, from Alexandria via LeMat-Bulk.

Calculated values
* V: 138.48 Å³/cell

The structure in CIF format:
```
data_CaBTeI2
_chemical_formula_sum 'Ca1 B1 Te1 I2'
_cell_length_a 5.123
_cell_length_b 5.123
_cell_length_c 5.276
_cell_angle_alpha 90.00
_cell_angle_beta 90.00
_cell_angle_gamma 90.00
_symmetry_space_group_name_H-M 'P 4/m m m'
_symmetry_Int_Tables_number 123
_symmetry_space_group_name_Hall '-P 4 2'
loop_
_atom_site_label
_atom_site_fract_x
_atom_site_fract_y
_atom_site_fract_z
_atom_site_occupancy
Ca1 0.000 0.000 0.000 1
B1 0.500 0.500 0.500 1
Te1 0.500 0.500 0.000 1
I1 0.000 0.500 0.500 1
```

--- x ---
The following is a PBE calculation of an optimized crystal structure of CaBTeI2, from Alexandria via LeMat-Bulk.

Calculated values
* V: 223.63 Å³/cell

The structure in CIF format:
```
data_CaBTeI2
_chemical_formula_sum 'Ca1 B1 Te1 I2'
_cell_length_a 6.034
_cell_length_b 6.034
_cell_length_c 6.143
_cell_angle_alpha 90.00
_cell_angle_beta 90.00
_cell_angle_gamma 90.00
_symmetry_space_group_name_H-M 'P 4/m m m'
_symmetry_Int_Tables_number 123
_symmetry_space_group_name_Hall '-P 4 2'
loop_
_atom_site_label
_atom_site_fract_x
_atom_site_fract_y
_atom_site_fract_z
_atom_site_occupancy
Ca1 0.000 0.000 0.000 1
B1 0.500 0.500 0.500 1
Te1 0.000 0.000 0.500 1
I1 0.000 0.500 0.000 1
```

Least stable structure: x

--- w ---
The following is a PBE calculation of an optimized crystal structure of CaInB3, from Alexandria via LeMat-Bulk.

Calculated values
* V: 93.43 Å³/cell

The structure in CIF format:
```
data_CaInB3
_chemical_formula_sum 'Ca1 In1 B3'
_cell_length_a 4.538
_cell_length_b 4.538
_cell_length_c 4.538
_cell_angle_alpha 90.00
_cell_angle_beta 90.00
_cell_angle_gamma 90.00
_symmetry_space_group_name_H-M 'P m -3 m'
_symmetry_Int_Tables_number 221
_symmetry_space_group_name_Hall '-P 4 2 3'
loop_
_atom_site_label
_atom_site_fract_x
_atom_site_fract_y
_atom_site_fract_z
_atom_site_occupancy
Ca1 0.000 0.000 0.000 1
In1 0.500 0.500 0.500 1
B1 0.000 0.500 0.500 1
```

--- x ---
The following is a PBE calculation of an optimized crystal structure of CaInB3, from Alexandria via LeMat-Bulk.

Calculated values
* V: 111.56 Å³/cell

The structure in CIF format:
```
data_CaInB3
_chemical_formula_sum 'Ca1 In1 B3'
_cell_length_a 4.814
_cell_length_b 4.814
_cell_length_c 4.814
_cell_angle_alpha 90.00
_cell_angle_beta 90.00
_cell_angle_gamma 90.00
_symmetry_space_group_name_H-M 'P m -3 m'
_symmetry_Int_Tables_number 221
_symmetry_space_group_name_Hall '-P 4 2 3'
loop_
_atom_site_label
_atom_site_fract_x
_atom_site_fract_y
_atom_site_fract_z
_atom_site_occupancy
Ca1 0.000 0.000 0.000 1
In1 0.500 0.500 0.500 1
B1 0.000 0.000 0.500 1
```

Least stable structure: x

--- w ---
The following is a PBE calculation of an optimized crystal structure of CaB3Ir, from Alexandria via LeMat-Bulk.

Calculated values
* V: 69.55 Å³/cell

The structure in CIF format:
```
data_CaB3Ir
_chemical_formula_sum 'Ca1 B3 Ir1'
_cell_length_a 4.113
_cell_length_b 4.113
_cell_length_c 4.113
_cell_angle_alpha 90.00
_cell_angle_beta 90.00
_cell_angle_gamma 90.00
_symmetry_space_group_name_H-M 'P m -3 m'
_symmetry_Int_Tables_number 221
_symmetry_space_group_name_Hall '-P 4 2 3'
loop_
_atom_site_label
_atom_site_fract_x
_atom_site_fract_y
_atom_site_fract_z
_atom_site_occupancy
Ca1 0.000 0.000 0.000 1
B1 0.000 0.000 0.500 1
Ir1 0.500 0.500 0.500 1
```

--- x ---
The following is a PBE calculation of an optimized crystal structure of CaB3Ir, from Alexandria via LeMat-Bulk.

Calculated values
* V: 69.93 Å³/cell

The structure in CIF format:
```
data_CaB3Ir
_chemical_formula_sum 'Ca1 B3 Ir1'
_cell_length_a 4.120
_cell_length_b 4.120
_cell_length_c 4.120
_cell_angle_alpha 90.00
_cell_angle_beta 90.00
_cell_angle_gamma 90.00
_symmetry_space_group_name_H-M 'P m -3 m'
_symmetry_Int_Tables_number 221
_symmetry_space_group_name_Hall '-P 4 2 3'
loop_
_atom_site_label
_atom_site_fract_x
_atom_site_fract_y
_atom_site_fract_z
_atom_site_occupancy
Ca1 0.000 0.000 0.000 1
B1 0.000 0.500 0.500 1
Ir1 0.500 0.500 0.500 1
```

Least stable structure: w

--- w ---
The following is a PBE calculation of an optimized crystal structure of CaB4Ir4, from Alexandria via LeMat-Bulk.

Calculated values
* V: 233.33 Å³/cell

The structure in CIF format:
```
data_CaB4Ir4
_chemical_formula_sum 'Ca2 B8 Ir8'
_cell_length_a 7.625
_cell_length_b 7.625
_cell_length_c 4.013
_cell_angle_alpha 90.00
_cell_angle_beta 90.00
_cell_angle_gamma 90.00
_symmetry_space_group_name_H-M 'P 42/n'
_symmetry_Int_Tables_number 86
loop_
_symmetry_equiv_pos_as_xyz
'x,y,z'
'-x,-y,-z'
'-y,x+1/2,z+1/2'
'y,-x+1/2,-z+1/2'
'-x+1/2,-y+1/2,z'
'x+1/2,y+1/2,-z'
'y+1/2,-x,z+1/2'
'-y+1/2,x,-z+1/2'
loop_
_atom_site_label
_atom_site_fract_x
_atom_site_fract_y
_atom_site_fract_z
_atom_site_occupancy
Ca1 0.250 0.250 0.250 1
B1 0.030 0.908 0.139 1
Ir1 0.097 0.637 0.140 1
```

--- x ---
The following is a PBE calculation of an optimized crystal structure of CaB4Ir4, from Alexandria via LeMat-Bulk.

Calculated values
* V: 218.03 Å³/cell

The structure in CIF format:
```
data_CaB4Ir4
_chemical_formula_sum 'Ca2 B8 Ir8'
_cell_length_a 5.422
_cell_length_b 5.422
_cell_length_c 7.417
_cell_angle_alpha 90.00
_cell_angle_beta 90.00
_cell_angle_gamma 90.00
_symmetry_space_group_name_H-M 'P 42/n m c'
_symmetry_Int_Tables_number 137
loop_
_symmetry_equiv_pos_as_xyz
'x,y,z'
'-x,-y,-z'
'-y+1/2,x,z+1/2'
'y+1/2,-x,-z+1/2'
'-x+1/2,-y+1/2,z'
'x+1/2,y+1/2,-z'
'y,-x+1/2,z+1/2'
'-y,x+1/2,-z+1/2'
'x+1/2,-y,-z'
'-x+1/2,y,z'
'-y,-x,-z+1/2'
'y,x,z+1/2'
'-x,y+1/2,-z'
'x,-y+1/2,z'
'y+1/2,x+1/2,-z+1/2'
'-y+1/2,-x+1/2,z+1/2'
loop_
_atom_site_label
_atom_site_fract_x
_atom_site_fract_y
_atom_site_fract_z
_atom_site_occupancy
Ca1 0.250 0.750 0.250 1
B1 0.075 0.250 0.097 1
Ir1 0.002 0.750 0.606 1
```

Least stable structure: x

--- w ---
The following is a PBE calculation of an optimized crystal structure of CaBIr, from Alexandria via LeMat-Bulk.

Calculated values
* V: 219.52 Å³/cell

The structure in CIF format:
```
data_CaBIr
_chemical_formula_sum 'Ca4 B4 Ir4'
_cell_length_a 5.628
_cell_length_b 7.138
_cell_length_c 6.925
_cell_angle_alpha 90.00
_cell_angle_beta 127.90
_cell_angle_gamma 90.00
_symmetry_space_group_name_H-M 'P 1 21/c 1'
_symmetry_Int_Tables_number 14
_symmetry_space_group_name_Hall '-P 2ybc'
loop_
_atom_site_label
_atom_site_fract_x
_atom_site_fract_y
_atom_site_fract_z
_atom_site_occupancy
Ca1 0.120 0.001 0.310 1
B1 0.500 0.148 0.164 1
Ir1 0.500 0.142 0.865 1
```

--- x ---
The following is a PBE calculation of an optimized crystal structure of CaBIr, from Alexandria via LeMat-Bulk.

Calculated values
* V: 51.27 Å³/cell

The structure in CIF format:
```
data_CaBIr
_chemical_formula_sum 'Ca1 B1 Ir1'
_cell_length_a 3.6040
_cell_length_b 3.6040
_cell_length_c 4.5583
_cell_angle_alpha 90.00
_cell_angle_beta 90.00
_cell_angle_gamma 120.00
_symmetry_space_group_name_H-M 'P -6 m 2'
_symmetry_Int_Tables_number 187
_symmetry_space_group_name_Hall 'P -6 2'
loop_
_atom_site_label
_atom_site_fract_x
_atom_site_fract_y
_atom_site_fract_z
_atom_site_occupancy
Ca1 0.0000 0.0000 0.0000 1
B1 0.3333 0.6667 0.5000 1
Ir1 0.6667 0.3333 0.5000 1
```

Least stable structure: x